The following is a GGA-PBE calculation of a relaxed structure of GdDyLuAl, from Alexandria via LeMat-Bulk.

## Properties
Raw total energy in eV/atom: -6.829

Cell: 5.316 5.316 5.316 Å, 60.00 60.00 60.00°
Fractional positions:
Gd1 0.000 0.000 0.000
Al1 0.250 0.250 0.250
Dy1 0.500 0.500 0.500
Lu1 0.750 0.750 0.750

The following is a GGA-PBE calculation of a relaxed structure of LiCa2Tl, from Alexandria via LeMat-Bulk.

## Properties
Raw total energy in eV/atom: -2.177

Cell: 10.755 10.755 10.755 Å, 20.31 20.31 20.31°
Fractional positions:
Ca1 0.004 0.004 0.004
Ca2 0.496 0.496 0.496
Tl1 0.750 0.750 0.750
Li1 0.250 0.250 0.250

The following is a GGA-PBE calculation of a relaxed structure of PmZn4Pd, from Alexandria via LeMat-Bulk.

## Properties
Raw total energy in eV/atom: -2.864

Cell: 5.276 5.276 5.276 Å, 60.00 60.00 60.00°
Fractional positions:
Zn1 0.626 0.626 0.626
Zn2 0.121 0.626 0.626
Zn3 0.626 0.626 0.121
Zn4 0.626 0.121 0.626
Pd1 0.000 0.000 0.000
Pm1 0.250 0.250 0.250

The following is a GGA-PBE calculation of a relaxed structure of NdSi2Ni5, from Alexandria via LeMat-Bulk.

## Properties
Raw total energy in eV/atom: -6.135
Formation energy without anion corrections in eV per atom: -0.57

Cell: 3.665 5.947 5.947 Å, 67.26 72.05 72.05°
Fractional positions:
Ni1 0.350 0.464 0.837
Ni2 0.350 0.837 0.464
Ni3 0.000 0.500 0.500
Ni4 0.650 0.163 0.536
Ni5 0.650 0.536 0.163
Si1 0.242 0.258 0.258
Si2 0.758 0.742 0.742
Nd1 0.000 0.000 0.000

The following is a GGA-PBE calculation of a relaxed structure of Tb4C5, from Alexandria via LeMat-Bulk.

## Properties
Raw total energy in eV/atom: -7.493

Cell: 3.700 6.629 12.048 Å, 90.00 90.00 90.00°
Fractional positions:
Tb1 0.500 0.608 0.305
Tb2 0.500 0.108 0.195
Tb3 0.500 0.392 0.695
Tb4 0.000 0.245 0.957
Tb5 0.000 0.255 0.457
Tb6 0.000 0.755 0.043
Tb7 0.500 0.892 0.805
Tb8 0.000 0.745 0.543
C1 0.000 0.597 0.844
C2 0.000 0.903 0.344
C3 0.000 0.137 0.764
C4 0.000 0.363 0.264
C5 0.500 0.000 0.000
C6 0.000 0.097 0.656
C7 0.000 0.637 0.736
C8 0.000 0.403 0.156
C9 0.000 0.863 0.236
C10 0.500 0.500 0.500

The following is a GGA-PBE calculation of a relaxed structure of Ac2HPd, from Alexandria via LeMat-Bulk.

## Properties
Raw total energy in eV/atom: -4.436

Cell: 3.645 3.645 7.539 Å, 90.00 90.00 90.00°
Fractional positions:
Pd1 0.500 0.500 0.000
Ac1 0.000 0.000 0.744
Ac2 0.000 0.000 0.256
H1 0.500 0.500 0.500

The following is a GGA-PBE calculation of a relaxed structure of BaCd2SnCl8, from Alexandria via LeMat-Bulk.

## Properties
Raw total energy in eV/atom: -3.197
Formation energy without anion corrections in eV per atom: -1.32

Cell: 6.725 6.725 9.685 Å, 90.00 90.00 120.00°
Fractional positions:
Cd1 0.667 0.333 0.243
Cd2 0.333 0.667 0.757
Cl1 0.019 0.706 0.296
Cl2 0.314 0.019 0.704
Cl3 0.981 0.294 0.704
Cl4 0.706 0.686 0.704
Cl5 0.333 0.667 0.011
Cl6 0.667 0.333 0.989
Cl7 0.294 0.314 0.296
Cl8 0.686 0.981 0.296
Sn1 0.000 0.000 0.500
Ba1 0.000 0.000 0.000

The following is a GGA-PBE calculation of a relaxed structure of P2N, from Alexandria via LeMat-Bulk.

## Properties
Raw total energy in eV/atom: -6.229
Formation energy without anion corrections in eV per atom: 0.15

Cell: 2.648 4.732 6.697 Å, 90.00 90.00 90.00°
Fractional positions:
P1 0.500 0.000 0.697
P2 0.000 0.500 0.197
P3 0.000 0.000 0.273
P4 0.500 0.500 0.773
N1 0.500 0.500 0.031
N2 0.000 0.000 0.531

The following is a GGA-PBE calculation of a relaxed structure of BeTe4Ir, from Alexandria via LeMat-Bulk.

## Properties
Raw total energy in eV/atom: -2.729
Formation energy without anion corrections in eV per atom: 1.46

Cell: 6.094 6.094 6.094 Å, 60.00 60.00 60.00°
Fractional positions:
Te1 0.876 0.375 0.375
Te2 0.375 0.375 0.876
Te3 0.375 0.876 0.375
Te4 0.375 0.375 0.375
Ir1 0.000 0.000 0.000
Be1 0.750 0.750 0.750

The following is a GGA-PBE calculation of a relaxed structure of BaReAu2, from Alexandria via LeMat-Bulk.

## Properties
Raw total energy in eV/atom: -4.613

Cell: 3.459 3.459 7.705 Å, 90.00 90.00 90.00°
Fractional positions:
Ba1 0.000 0.000 0.502
Re1 0.500 0.500 0.824
Au1 0.000 0.000 0.980
Au2 0.500 0.500 0.194

The following is a GGA-PBE calculation of a relaxed structure of NiB2Pd, from Alexandria via LeMat-Bulk.

## Properties
Raw total energy in eV/atom: -5.657

Cell: 3.768 3.768 3.768 Å, 60.00 60.00 60.00°
Fractional positions:
B1 0.750 0.750 0.750
B2 0.250 0.250 0.250
Pd1 0.500 0.500 0.500
Ni1 0.000 0.000 0.000

The following is a GGA-PBE calculation of a relaxed structure of SmTiPd2, from Alexandria via LeMat-Bulk.

## Properties
Raw total energy in eV/atom: -6.352

Cell: 3.237 3.237 7.307 Å, 90.00 90.00 90.00°
Fractional positions:
Pd1 0.000 0.000 0.198
Pd2 0.000 0.000 0.802
Ti1 0.500 0.500 0.000
Sm1 0.500 0.500 0.500

The following is a GGA-PBE calculation of a relaxed structure of CePr4Rh2, from Alexandria via LeMat-Bulk.

## Properties
Raw total energy in eV/atom: -5.979

Cell: 6.557 7.962 7.957 Å, 108.82 90.00 90.00°
Fractional positions:
Pr1 0.000 0.693 0.192
Pr2 0.000 0.307 0.808
Pr3 0.500 0.307 0.808
Pr4 0.750 0.422 0.436
Pr5 0.250 0.578 0.564
Pr6 0.250 0.934 0.921
Pr7 0.500 0.693 0.192
Pr8 0.750 0.066 0.079
Ce1 0.750 0.869 0.631
Ce2 0.250 0.131 0.369
Rh1 0.750 0.058 0.442
Rh2 0.750 0.681 0.821
Rh3 0.250 0.942 0.558
Rh4 0.250 0.319 0.179

The following is a GGA-PBE calculation of a relaxed structure of Cs2Pa2TlSe7, from Alexandria via LeMat-Bulk.

## Properties
Raw total energy in eV/atom: -5.132
Formation energy without anion corrections in eV per atom: -1.18

Cell: 5.544 5.544 15.079 Å, 79.36 79.36 90.00°
Fractional positions:
Cs1 0.185 0.185 0.630
Cs2 0.815 0.815 0.370
Se1 0.313 0.313 0.372
Se2 0.911 0.411 0.178
Se3 0.589 0.089 0.822
Se4 0.411 0.911 0.178
Se5 0.687 0.687 0.628
Se6 0.500 0.500 0.000
Se7 0.089 0.589 0.822
Tl1 0.000 0.000 0.000
Pa1 0.595 0.595 0.809
Pa2 0.405 0.405 0.191

The following is a GGA-PBE calculation of a relaxed structure of BeZn2Si, from Alexandria via LeMat-Bulk.

## Properties
Raw total energy in eV/atom: -2.647
Formation energy without anion corrections in eV per atom: 0.28

Cell: 9.307 9.307 9.307 Å, 16.06 16.06 16.06°
Fractional positions:
Be1 0.250 0.250 0.250
Zn1 0.509 0.509 0.509
Zn2 0.991 0.991 0.991
Si1 0.750 0.750 0.750

The following is a GGA-PBE calculation of a relaxed structure of CsNbSe2, from Alexandria via LeMat-Bulk.

## Properties
Raw total energy in eV/atom: -5.180
Formation energy without anion corrections in eV per atom: -0.71

Cell: 7.903 7.903 7.279 Å, 57.12 57.12 90.00°
Fractional positions:
Cs1 0.000 0.000 0.000
Cs2 0.750 0.250 0.500
Se1 0.375 0.488 0.750
Se2 0.875 0.762 0.750
Se3 0.512 0.125 0.250
Se4 0.238 0.625 0.250
Nb1 0.250 0.750 0.500
Nb2 0.500 0.500 0.000

The following is a GGA-PBE calculation of a relaxed structure of TbYIr2, from Alexandria via LeMat-Bulk.

## Properties
Raw total energy in eV/atom: -7.982

Cell: 3.329 4.944 9.886 Å, 90.00 90.00 90.00°
Fractional positions:
Ir1 0.000 0.750 0.875
Ir2 0.000 0.250 0.125
Ir3 0.000 0.250 0.625
Ir4 0.000 0.750 0.375
Tb1 0.500 0.750 0.625
Tb2 0.500 0.250 0.375
Y1 0.500 0.750 0.125
Y2 0.500 0.250 0.875

The following is a GGA-PBE calculation of a relaxed structure of Nd12TmPb3, from Alexandria via LeMat-Bulk.

## Properties
Raw total energy in eV/atom: -4.791

Cell: 5.011 5.011 20.377 Å, 90.00 90.00 90.00°
Fractional positions:
Nd1 0.500 0.000 0.378
Nd2 0.500 0.500 0.000
Nd3 0.000 0.500 0.622
Nd4 0.500 0.000 0.870
Nd5 0.500 0.500 0.500
Nd6 0.500 0.500 0.745
Nd7 0.000 0.500 0.870
Nd8 0.500 0.000 0.130
Nd9 0.500 0.500 0.255
Nd10 0.000 0.500 0.130
Nd11 0.500 0.000 0.622
Nd12 0.000 0.500 0.378
Tm1 0.000 0.000 0.000
Pb1 0.000 0.000 0.746
Pb2 0.000 0.000 0.254
Pb3 0.000 0.000 0.500

The following is a GGA-PBE calculation of a relaxed structure of BeCuS2, from Alexandria via LeMat-Bulk.

## Properties
Raw total energy in eV/atom: -4.576
Formation energy without anion corrections in eV per atom: -0.56

Cell: 5.090 5.090 6.127 Å, 65.46 65.46 90.00°
Fractional positions:
Cu1 0.750 0.250 0.500
Cu2 0.000 0.000 0.000
S1 0.875 0.848 0.750
S2 0.152 0.625 0.250
S3 0.375 0.402 0.750
S4 0.598 0.125 0.250
Be1 0.500 0.500 0.000
Be2 0.250 0.750 0.500

The following is a GGA-PBE calculation of a relaxed structure of Sr2AgRh2, from Alexandria via LeMat-Bulk.

## Properties
Raw total energy in eV/atom: -4.333

Cell: 7.273 7.273 4.487 Å, 90.00 90.00 90.00°
Fractional positions:
Sr1 0.676 0.824 0.500
Sr2 0.176 0.676 0.500
Sr3 0.324 0.176 0.500
Sr4 0.824 0.324 0.500
Ag1 0.000 0.000 0.000
Ag2 0.500 0.500 0.000
Rh1 0.374 0.874 0.000
Rh2 0.126 0.374 0.000
Rh3 0.626 0.126 0.000
Rh4 0.874 0.626 0.000

The following is a GGA-PBE calculation of a relaxed structure of BaCrW, from Alexandria via LeMat-Bulk.

## Properties
Raw total energy in eV/atom: -6.995

Cell: 8.011 7.780 3.052 Å, 83.15 74.63 22.23°
Fractional positions:
Ba1 0.996 0.996 0.004
Cr1 0.306 0.306 0.694
W1 0.698 0.698 0.302

The following is a GGA-PBE calculation of a relaxed structure of ErTmI6, from Alexandria via LeMat-Bulk.

## Properties
Raw total energy in eV/atom: -3.594
Formation energy without anion corrections in eV per atom: -1.30

Cell: 7.563 7.562 8.090 Å, 62.14 62.14 60.00°
Fractional positions:
I1 0.251 0.907 0.250
I2 0.093 0.409 0.750
I3 0.591 0.251 0.250
I4 0.907 0.591 0.250
I5 0.409 0.749 0.750
I6 0.749 0.093 0.750
Tm1 0.500 0.500 0.500
Er1 0.000 0.000 0.000

The following is a GGA-PBE calculation of a relaxed structure of TeHSe2, from Alexandria via LeMat-Bulk.

## Properties
Raw total energy in eV/atom: -2.641

Cell: 4.810 4.810 4.810 Å, 60.00 60.00 60.00°
Fractional positions:
Se1 0.250 0.250 0.250
Se2 0.750 0.750 0.750
H1 0.000 0.000 0.000
Te1 0.500 0.500 0.500

The following is a GGA-PBE calculation of a relaxed structure of KSi2Pt2, from Alexandria via LeMat-Bulk.

## Properties
Raw total energy in eV/atom: -5.018
Formation energy without anion corrections in eV per atom: -0.21

Cell: 7.972 7.972 2.721 Å, 90.00 90.00 90.00°
Fractional positions:
K1 0.500 0.500 0.000
K2 0.000 0.000 0.000
Pt1 0.655 0.845 0.500
Pt2 0.345 0.155 0.500
Pt3 0.845 0.345 0.500
Pt4 0.155 0.655 0.500
Si1 0.869 0.631 0.000
Si2 0.631 0.131 0.000
Si3 0.131 0.369 0.000
Si4 0.369 0.869 0.000

The following is a GGA-PBE calculation of a relaxed structure of ZrNpIrRh, from Alexandria via LeMat-Bulk.

## Properties
Raw total energy in eV/atom: -9.878

Cell: 4.751 4.751 4.751 Å, 60.00 60.00 60.00°
Fractional positions:
Zr1 0.250 0.250 0.250
Np1 0.750 0.750 0.750
Ir1 0.000 0.000 0.000
Rh1 0.500 0.500 0.500